The following is a DFT calculation (PBE-GGA) of UPbS2O8 after structural relaxation.

Output
crystal system = trigonal
uncorrected formation energy = -1.45 eV/atom
symmetry = P-3m1, No. 164
final energy = -80.32 eV/cell
density = 4.8 g/cm3

Unit cell a=6.099 b=6.099 c=6.898 alpha=90.00 beta=90.00 gamma=120.00
Sites, in units of the cell vectors:
1 O 0.333 0.667 0.562
2 O 0.846 0.692 0.193
3 O 0.308 0.154 0.193
4 O 0.692 0.846 0.807
5 O 0.846 0.154 0.193
6 O 0.154 0.308 0.807
7 O 0.154 0.846 0.807
8 O 0.667 0.333 0.438
9 S 0.667 0.333 0.227
10 S 0.333 0.667 0.773
11 U 0.000 0.000 0.000
12 Pb 0.000 0.000 0.500